# SrAsWSe2 PBE-GGA relaxed
data_SrAsWSe2
_cell_length_a 5.5902
_cell_length_b 5.5902
_cell_length_c 5.5473
_cell_angle_alpha 90.00
_cell_angle_beta 90.00
_cell_angle_gamma 90.00
_space_group_name_H-M_alt 'P 4/m m m'
_space_group_IT_number 123
_space_group_name_Hall '-P 4 2'
loop_
_atom_site_label
_atom_site_fract_x
_atom_site_fract_y
_atom_site_fract_z
Sr1 0.0000 0.0000 0.0000
As1 0.0000 0.0000 0.5000
W1 0.5000 0.5000 0.5000
Se1 0.0000 0.5000 0.0000
# Magnetization = 0.481 μB/atom
# Calculated total energy = -18.6 eV per cell
# Relative energy among the computed polymorphs = 1946.6 meV/atom
# Formation energy from raw total energies = 1.5304 eV per atom
# Crystal system = tetragonal
# ρ = 4.8 Mg/m³
# N(E_F) = 5.5 states/eV/f.u.

***

# Y2Ru PBE-GGA relaxed
data_Y2Ru
_cell_length_a 3.5170
_cell_length_b 15.7950
_cell_length_c 5.2154
_cell_angle_alpha 90.00
_cell_angle_beta 90.00
_cell_angle_gamma 90.00
_space_group_name_H-M_alt 'C m c m'
_space_group_IT_number 63
_space_group_name_Hall '-C 2c 2'
loop_
_atom_site_label
_atom_site_fract_x
_atom_site_fract_y
_atom_site_fract_z
Y1 0.0000 0.0702 0.2500
Y2 0.0000 0.2102 0.7500
Ru1 0.0000 0.4261 0.2500
# Magnetization = 0.000 μB/atom
# E_form = -0.7 eV per formula unit
# Calculated total energy = -91.7 eV per cell
# Crystal system = orthorhombic
# ρ = 6.4 Mg/m³
# N(E_F) = 2.1 states/eV/f.u.

***

# CeB2Rh2N PBE-GGA relaxed
data_CeB2Rh2N
_cell_length_a 3.8787
_cell_length_b 3.8787
_cell_length_c 9.9382
_cell_angle_alpha 90.00
_cell_angle_beta 90.00
_cell_angle_gamma 90.00
_space_group_name_H-M_alt 'I 4/m m m'
_space_group_IT_number 139
_space_group_name_Hall '-I 4 2'
loop_
_atom_site_label
_atom_site_fract_x
_atom_site_fract_y
_atom_site_fract_z
Ce1 0.0000 0.0000 0.0000
B1 0.0000 0.0000 0.3543
Rh1 0.0000 0.5000 0.2500
N1 0.0000 0.0000 0.5000
# Magnetization = 0.131 μB/atom
# Calculated total energy = -95.9 eV per cell
# Formation energy from raw total energies = -0.9356 eV per atom
# Crystal system = tetragonal
# ρ = 8.5 Mg/m³
# N(E_F) = 4.4 states/eV/f.u.

***

# Sm2HoErSe6 PBE-GGA relaxed
data_Sm2HoErSe6
_cell_length_a 7.2734
_cell_length_b 7.2734
_cell_length_c 19.4896
_cell_angle_alpha 90.00
_cell_angle_beta 90.00
_cell_angle_gamma 120.00
_space_group_name_H-M_alt 'R 3'
_space_group_IT_number 146
_space_group_name_Hall 'R 3'
loop_
_atom_site_label
_atom_site_fract_x
_atom_site_fract_y
_atom_site_fract_z
Sm1 0.0000 0.0000 0.0000
Sm2 0.0000 0.0000 0.4999
Ho1 0.0000 0.0000 0.1985
Er1 0.0000 0.0000 0.6983
Se1 0.0380 0.6824 0.7694
Se2 0.0385 0.3569 0.2697
# Magnetization = 0.000 μB/atom
# Calculated total energy = -173.8 eV per cell
# Formation energy from raw total energies = -1.8454 eV per atom
# Crystal system = trigonal
# ρ = 6.2 Mg/m³
# N(E_F) = 0.0 states/eV/f.u.

***

# Ho2Th2Mg PBE-GGA relaxed
data_Ho2Th2Mg
_cell_length_a 3.6066
_cell_length_b 3.6066
_cell_length_c 23.0189
_cell_angle_alpha 90.00
_cell_angle_beta 90.00
_cell_angle_gamma 90.00
_space_group_name_H-M_alt 'I 4/m m m'
_space_group_IT_number 139
_space_group_name_Hall '-I 4 2'
loop_
_atom_site_label
_atom_site_fract_x
_atom_site_fract_y
_atom_site_fract_z
Ho1 0.0000 0.0000 0.0916
Th1 0.0000 0.0000 0.3029
Mg1 0.0000 0.0000 0.5000
# Magnetization = 0.000 μB/atom
# E_form = -0.1 eV per formula unit
# Calculated total energy = -51.4 eV per cell
# Relative energy among the computed polymorphs = 0.0 meV/atom
# Crystal system = tetragonal
# ρ = 9.1 Mg/m³
# N(E_F) = 8.1 states/eV/f.u.

***

# Ca3VPb PBE-GGA relaxed
data_Ca3VPb
_cell_length_a 5.7029
_cell_length_b 5.7029
_cell_length_c 5.7029
_cell_angle_alpha 90.00
_cell_angle_beta 90.00
_cell_angle_gamma 90.00
_space_group_name_H-M_alt 'P m -3 m'
_space_group_IT_number 221
_space_group_name_Hall '-P 4 2 3'
loop_
_atom_site_label
_atom_site_fract_x
_atom_site_fract_y
_atom_site_fract_z
Ca1 0.0000 0.0000 0.5000
V1 0.0000 0.0000 0.0000
Pb1 0.5000 0.5000 0.5000
# Magnetization = 0.937 μB/atom
# E_form = 2.7 eV per formula unit
# Calculated total energy = -16.2 eV per cell
# Relative energy among the computed polymorphs = 0.0 meV/atom
# Crystal system = cubic
# ρ = 3.4 Mg/m³
# N(E_F) = 3.0 states/eV/f.u.

***

# YMg2HgGe PBE-GGA relaxed
data_YMg2HgGe
_cell_length_a 5.0318
_cell_length_b 5.0318
_cell_length_c 5.4523
_cell_angle_alpha 90.00
_cell_angle_beta 90.00
_cell_angle_gamma 90.00
_space_group_name_H-M_alt 'P 4/m m m'
_space_group_IT_number 123
_space_group_name_Hall '-P 4 2'
loop_
_atom_site_label
_atom_site_fract_x
_atom_site_fract_y
_atom_site_fract_z
Y1 0.0000 0.0000 0.0000
Mg1 0.0000 0.5000 0.5000
Hg1 0.5000 0.5000 0.5000
Ge1 0.5000 0.5000 0.0000
# Magnetization = 0.000 μB/atom
# E_form = 1.2 eV per formula unit
# Calculated total energy = -13.3 eV per cell
# Crystal system = tetragonal
# ρ = 4.9 Mg/m³
# N(E_F) = 3.9 states/eV/f.u.

***

# Li2YGaAu4 PBE-GGA relaxed
data_Li2YGaAu4
_cell_length_a 4.5273
_cell_length_b 4.5273
_cell_length_c 24.8682
_cell_angle_alpha 90.00
_cell_angle_beta 90.00
_cell_angle_gamma 120.00
_space_group_name_H-M_alt 'R -3 m'
_space_group_IT_number 166
_space_group_name_Hall '-R 3 2"'
loop_
_atom_site_label
_atom_site_fract_x
_atom_site_fract_y
_atom_site_fract_z
Li1 0.0000 0.0000 0.2410
Y1 0.0000 0.0000 0.0000
Ga1 0.0000 0.0000 0.5000
Au1 0.0000 0.0000 0.1272
Au2 0.0000 0.0000 0.3937
# Magnetization = 0.000 μB/atom
# E_form = -4.6 eV per formula unit
# Calculated total energy = -93.1 eV per cell
# Crystal system = trigonal
# ρ = 10.8 Mg/m³
# N(E_F) = 4.6 states/eV/f.u.

***

# RbPuTeI PBE-GGA relaxed
data_RbPuTeI
_cell_length_a 4.6165
_cell_length_b 4.6165
_cell_length_c 26.2320
_cell_angle_alpha 90.00
_cell_angle_beta 90.00
_cell_angle_gamma 120.00
_space_group_name_H-M_alt 'R 3 m'
_space_group_IT_number 160
_space_group_name_Hall 'R 3 -2"'
loop_
_atom_site_label
_atom_site_fract_x
_atom_site_fract_y
_atom_site_fract_z
Rb1 0.0000 0.0000 0.0000
Pu1 0.0000 0.0000 0.8206
Te1 0.0000 0.0000 0.4249
I1 0.0000 0.0000 0.2311
# Magnetization = 1.500 μB/atom
# Calculated total energy = -72.7 eV per cell
# Formation energy from raw total energies = -1.0626 eV per atom
# Crystal system = trigonal
# ρ = 6.0 Mg/m³
# N(E_F) = 12.5 states/eV/f.u.

***

# RbMgPtF6 PBE-GGA relaxed
data_RbMgPtF6
_cell_length_a 5.6057
_cell_length_b 9.4106
_cell_length_c 6.1263
_cell_angle_alpha 90.00
_cell_angle_beta 90.84
_cell_angle_gamma 90.00
_space_group_name_H-M_alt 'C 1 2 1'
_space_group_IT_number 5
loop_
_space_group_symop_operation_xyz
'x,y,z'
'-x,y,-z'
'x+1/2,y+1/2,z'
'-x+1/2,y+1/2,-z'
loop_
_atom_site_label
_atom_site_fract_x
_atom_site_fract_y
_atom_site_fract_z
Rb1 0.0000 0.0000 0.0000
Mg1 0.0000 0.6700 0.5000
Pt1 0.0000 0.3326 0.5000
F1 0.1379 0.4965 0.6707
F2 0.1619 0.8007 0.7017
F3 0.1814 0.1815 0.6690
# Magnetization = 0.111 μB/atom
# Calculated total energy = -81.6 eV per cell
# Formation energy from raw total energies = -2.3319 eV per atom
# Crystal system = monoclinic
# ρ = 4.3 Mg/m³

***

# LaPrSe3 PBE-GGA relaxed
data_LaPrSe3
_cell_length_a 12.8275
_cell_length_b 10.9806
_cell_length_c 8.0247
_cell_angle_alpha 90.00
_cell_angle_beta 90.04
_cell_angle_gamma 90.00
_space_group_name_H-M_alt 'C 1 2/c 1'
_space_group_IT_number 15
loop_
_space_group_symop_operation_xyz
'x,y,z'
'-x,-y,-z'
'-x,y,-z+1/2'
'x,-y,z+1/2'
'x+1/2,y+1/2,z'
'-x+1/2,-y+1/2,-z'
'-x+1/2,y+1/2,-z+1/2'
'x+1/2,-y+1/2,z+1/2'
loop_
_atom_site_label
_atom_site_fract_x
_atom_site_fract_y
_atom_site_fract_z
La1 0.0000 0.1491 0.2500
La2 0.0000 0.3503 0.7500
Pr1 0.2504 0.0581 0.6291
Se1 0.0929 0.4103 0.0929
Se2 0.0935 0.0891 0.9071
Se3 0.2505 0.1778 0.3030
# Magnetization = 0.000 μB/atom
# Calculated total energy = -234.9 eV per cell
# Relative energy among the computed polymorphs = 84.5 meV/atom
# Formation energy from raw total energies = -1.8411 eV per atom
# Crystal system = monoclinic
# ρ = 6.1 Mg/m³

***

# NaTaPt2 PBE-GGA relaxed
data_NaTaPt2
_cell_length_a 7.3572
_cell_length_b 7.3572
_cell_length_c 5.7666
_cell_angle_alpha 90.00
_cell_angle_beta 90.00
_cell_angle_gamma 90.00
_space_group_name_H-M_alt 'I -4 2 d'
_space_group_IT_number 122
_space_group_name_Hall 'I -4 2bw'
loop_
_atom_site_label
_atom_site_fract_x
_atom_site_fract_y
_atom_site_fract_z
Na1 0.0000 0.0000 0.0000
Ta1 0.0000 0.0000 0.5000
Pt1 0.2140 0.2500 0.6250
# Magnetization = 0.000 μB/atom
# E_form = 0.4 eV per formula unit
# Calculated total energy = -99.5 eV per cell
# Crystal system = tetragonal
# ρ = 12.6 Mg/m³
# N(E_F) = 0.0 states/eV/f.u.

***

> Number 4 is which compound?

Sm2HoErSe6

***

> Which formula does entry 3 have?

CeB2Rh2N

***

> Which of these has the lowest calculated total energy?

LaPrSe3